The following is a GGA-PBE calculation of a relaxed ScTe crystal, from Alexandria.

The structure in CIF format:
```
data_ScTe
_cell_length_a 4.329
_cell_length_b 10.786
_cell_length_c 7.197
_cell_angle_alpha 90.00
_cell_angle_beta 90.00
_cell_angle_gamma 90.00
_space_group_name_H-M_alt 'A m m 2'
_space_group_IT_number 38
loop_
_space_group_symop_operation_xyz
'x,y,z'
'-x,-y,z'
'-x,y,z'
'x,-y,z'
'x,y+1/2,z+1/2'
'-x,-y+1/2,z+1/2'
'-x,y+1/2,z+1/2'
'x,-y+1/2,z+1/2'
loop_
_atom_site_label
_atom_site_type_symbol
_atom_site_fract_x
_atom_site_fract_y
_atom_site_fract_z
Sc1 Sc 0.000 0.000 0.000
Sc2 Sc 0.500 0.249 0.940
Te1 Te 0.000 0.173 0.689
Te2 Te 0.500 0.000 0.260
```

## Properties
Formation energy from raw total energies ... -0.92 eV per atom
DOS at the Fermi energy ... 0.850 states/eV/atom
Total moment ... 3.90 μB/cell

***

The following is a GGA-PBE calculation of a relaxed ScTe5 crystal, from Alexandria.

The structure in CIF format:
```
data_ScTe5
_cell_length_a 3.708
_cell_length_b 3.708
_cell_length_c 12.095
_cell_angle_alpha 90.00
_cell_angle_beta 90.00
_cell_angle_gamma 90.00
_space_group_name_H-M_alt 'P 4/m m m'
_space_group_IT_number 123
_space_group_name_Hall '-P 4 2'
loop_
_atom_site_label
_atom_site_type_symbol
_atom_site_fract_x
_atom_site_fract_y
_atom_site_fract_z
Sc1 Sc 0.000 0.000 0.000
Te1 Te 0.000 0.000 0.335
Te2 Te 0.500 0.500 0.130
Te3 Te 0.500 0.500 0.500
```

## Properties
Formation energy from raw total energies ... -0.21 eV per atom
DOS at the Fermi energy ... 0.714 states/eV/atom
Total moment ... 0.00 μB/cell

***

The following is a GGA-PBE calculation of a relaxed Sc2Te3 crystal, from Alexandria.

The structure in CIF format:
```
data_Sc2Te3
_cell_length_a 7.251
_cell_length_b 12.437
_cell_length_c 7.123
_cell_angle_alpha 90.00
_cell_angle_beta 109.59
_cell_angle_gamma 90.00
_space_group_name_H-M_alt 'C 1 2/c 1'
_space_group_IT_number 15
loop_
_space_group_symop_operation_xyz
'x,y,z'
'-x,-y,-z'
'-x,y,-z+1/2'
'x,-y,z+1/2'
'x+1/2,y+1/2,z'
'-x+1/2,-y+1/2,-z'
'-x+1/2,y+1/2,-z+1/2'
'x+1/2,-y+1/2,z+1/2'
loop_
_atom_site_label
_atom_site_type_symbol
_atom_site_fract_x
_atom_site_fract_y
_atom_site_fract_z
Sc1 Sc 0.000 0.086 0.250
Sc2 Sc 0.000 0.250 0.750
Te1 Te 0.246 0.084 0.001
Te2 Te 0.250 0.250 0.500
```

## Properties
Formation energy from raw total energies ... -1.19 eV per atom
DOS at the Fermi energy ... 0.044 states/eV/atom
Total moment ... 0.00 μB/cell

***

- total moment of number 2 (ScTe5)?
  0.00 μB/cell